Record 1
Material: PrCu4Ge2
Method: DFT, PBE-GGA
State: optimized geometry

Results
**Energy of formation**: -0.299 eV per atom
**Total moment**: 0.0 μB per formula unit
**V**: 227 Å³/cell
**Energy above the most stable polymorph in this dataset**: 13.9 meV per atom

CIF file:
```
data_PrCu4Ge2
_chemical_formula_sum 'Pr2 Cu8 Ge4'
_cell_length_a 7.549
_cell_length_b 7.549
_cell_length_c 3.988
_cell_angle_alpha 90.00
_cell_angle_beta 90.00
_cell_angle_gamma 90.00
_space_group_name_H-M_alt 'P 42/m n m'
_space_group_IT_number 136
_space_group_name_Hall '-P 4n 2n'
loop_
_atom_site_label
_atom_site_fract_x
_atom_site_fract_y
_atom_site_fract_z
_atom_site_occupancy
Pr1 0.000 0.000 0.000 1
Cu1 0.087 0.348 0.500 1
Ge1 0.217 0.783 0.500 1
```

=====

Record 2
Material: KPHCl2
Method: DFT, PBE-GGA
State: optimized geometry

Results
**Total moment**: 0.0 μB per formula unit
**V**: 96 Å³/cell
**Energy above the most stable polymorph in this dataset**: 0.0 meV per atom

CIF file:
```
data_KPHCl2
_chemical_formula_sum 'K1 P1 H1 Cl2'
_cell_length_a 5.331
_cell_length_b 5.331
_cell_length_c 3.383
_cell_angle_alpha 90.00
_cell_angle_beta 90.00
_cell_angle_gamma 90.00
_space_group_name_H-M_alt 'P 4/m m m'
_space_group_IT_number 123
_space_group_name_Hall '-P 4 2'
loop_
_atom_site_label
_atom_site_fract_x
_atom_site_fract_y
_atom_site_fract_z
_atom_site_occupancy
K1 0.000 0.000 0.000 1
P1 0.500 0.500 0.000 1
H1 0.500 0.500 0.500 1
Cl1 0.000 0.500 0.500 1
```

=====

Record 3
Material: Pm2YGa
Method: DFT, PBE-GGA
State: optimized geometry

Results
**Energy of formation**: -0.236 eV per atom
**Total moment**: 0.0 μB per formula unit
**V**: 111 Å³/cell
**Energy above the most stable polymorph in this dataset**: 33.5 meV per atom

CIF file:
```
data_Pm2YGa
_chemical_formula_sum 'Pm2 Y1 Ga1'
_cell_length_a 4.770
_cell_length_b 4.770
_cell_length_c 4.880
_cell_angle_alpha 90.00
_cell_angle_beta 90.00
_cell_angle_gamma 90.00
_space_group_name_H-M_alt 'P 4/m m m'
_space_group_IT_number 123
_space_group_name_Hall '-P 4 2'
loop_
_atom_site_label
_atom_site_fract_x
_atom_site_fract_y
_atom_site_fract_z
_atom_site_occupancy
Pm1 0.000 0.500 0.000 1
Y1 0.000 0.000 0.500 1
Ga1 0.500 0.500 0.500 1
```

=====

Record 4
Material: LiAc8Cd2
Method: DFT, PBE-GGA
State: optimized geometry

Results
**Energy of formation**: -0.047 eV per atom
**Total moment**: 0.0 μB per formula unit
**V**: 859 Å³/cell

CIF file:
```
data_LiAc8Cd2
_chemical_formula_sum 'Li2 Ac16 Cd4'
_cell_length_a 19.897
_cell_length_b 5.757
_cell_length_c 7.763
_cell_angle_alpha 90.00
_cell_angle_beta 104.96
_cell_angle_gamma 90.00
_space_group_name_H-M_alt 'C 1 2/m 1'
_space_group_IT_number 12
loop_
_space_group_symop_operation_xyz
'x,y,z'
'-x,-y,-z'
'-x,y,-z'
'x,-y,z'
'x+1/2,y+1/2,z'
'-x+1/2,-y+1/2,-z'
'-x+1/2,y+1/2,-z'
'x+1/2,-y+1/2,z'
loop_
_atom_site_label
_atom_site_fract_x
_atom_site_fract_y
_atom_site_fract_z
_atom_site_occupancy
Li1 0.000 0.000 0.000 1
Ac1 0.025 0.500 0.765 1
Ac2 0.092 0.000 0.463 1
Ac3 0.163 0.000 0.965 1
Ac4 0.196 0.500 0.301 1
Cd1 0.188 0.500 0.722 1
```

=====

Record 5
Material: TbMgI2
Method: DFT, PBE-GGA
State: optimized geometry

Results
**Total moment**: 0.0 μB per formula unit
**V**: 413 Å³/cell
**Formation energy from raw total energies**: -1.6 eV/f.u.

CIF file:
```
data_TbMgI2
_chemical_formula_sum 'Tb3 Mg3 I6'
_cell_length_a 4.0073
_cell_length_b 4.0073
_cell_length_c 29.6636
_cell_angle_alpha 90.00
_cell_angle_beta 90.00
_cell_angle_gamma 120.00
_space_group_name_H-M_alt 'R -3 m'
_space_group_IT_number 166
_space_group_name_Hall '-R 3 2"'
loop_
_atom_site_label
_atom_site_fract_x
_atom_site_fract_y
_atom_site_fract_z
_atom_site_occupancy
Tb1 0.0000 0.0000 0.0000 1
Mg1 0.0000 0.0000 0.5000 1
I1 0.0000 0.0000 0.1056 1
```

=====

Record 6
Material: CePm
Method: DFT, PBE-GGA
State: optimized geometry

Results
**Energy of formation**: 0.271 eV per atom
**Total moment**: 1.9 μB per formula unit
**V**: 66 Å³/cell
**Energy above the most stable polymorph in this dataset**: 176.9 meV per atom

CIF file:
```
data_CePm
_chemical_formula_sum 'Ce1 Pm1'
_cell_length_a 4.042
_cell_length_b 4.042
_cell_length_c 4.042
_cell_angle_alpha 90.00
_cell_angle_beta 90.00
_cell_angle_gamma 90.00
_space_group_name_H-M_alt 'P m -3 m'
_space_group_IT_number 221
_space_group_name_Hall '-P 4 2 3'
loop_
_atom_site_label
_atom_site_fract_x
_atom_site_fract_y
_atom_site_fract_z
_atom_site_occupancy
Ce1 0.000 0.000 0.000 1
Pm1 0.500 0.500 0.500 1
```